Below is crystalline LiLaAg2 at its relaxed geometry, with properties calculated at the PBE-GGA level.

Results
Symmetry: I-42d, No. 122
Total moment, μB per cell: 0.0
Total energy, eV/atom: -3.034

POSCAR file:
```
LiLaAg2
1.0
-2.537 2.537 8.379
2.537 -2.537 8.379
2.537 2.537 -8.379
Li La Ag
2 2 4
Direct
0.000 0.000 0.000 Li
0.750 0.250 0.500 Li
0.250 0.750 0.500 La
0.500 0.500 0.000 La
0.375 0.226 0.351 Ag
0.774 0.125 0.149 Ag
0.875 0.024 0.649 Ag
0.976 0.625 0.851 Ag
```

---

Below is crystalline Tl3Zn at its relaxed geometry, with properties calculated at the PBE-GGA level.

Results
Symmetry: Pnma, No. 62
Total moment, μB per cell: 0.0
Total energy, eV/atom: -2.002

POSCAR file:
```
Tl3Zn
1.0
7.645 0.000 0.000
0.000 9.223 0.000
0.000 0.000 6.337
Tl Zn
12 4
Direct
0.020 0.250 0.115 Tl
0.190 0.051 0.641 Tl
0.190 0.449 0.641 Tl
0.310 0.551 0.141 Tl
0.310 0.949 0.141 Tl
0.480 0.750 0.615 Tl
0.520 0.250 0.385 Tl
0.690 0.051 0.859 Tl
0.690 0.449 0.859 Tl
0.810 0.551 0.359 Tl
0.810 0.949 0.359 Tl
0.980 0.750 0.885 Tl
0.108 0.750 0.430 Zn
0.392 0.250 0.930 Zn
0.608 0.750 0.070 Zn
0.892 0.250 0.570 Zn
```

---

Below is crystalline Ac12In6Ge at its relaxed geometry, with properties calculated at the PBE-GGA level.

Results
Symmetry: R-3, No. 148
Total moment, μB per cell: 0.0
Total energy, eV/atom: -3.950

POSCAR file:
```
Ac12In6Ge
1.0
6.622 3.823 4.970
-6.622 3.823 4.970
0.000 -7.647 4.970
Ac In Ge
12 6 1
Direct
0.051 0.935 0.693 Ac
0.065 0.307 0.949 Ac
0.177 0.404 0.533 Ac
0.307 0.949 0.065 Ac
0.404 0.533 0.177 Ac
0.467 0.823 0.596 Ac
0.533 0.177 0.404 Ac
0.596 0.467 0.823 Ac
0.693 0.051 0.935 Ac
0.823 0.596 0.467 Ac
0.935 0.693 0.051 Ac
0.949 0.065 0.307 Ac
0.164 0.765 0.361 In
0.235 0.639 0.836 In
0.361 0.164 0.765 In
0.639 0.836 0.235 In
0.765 0.361 0.164 In
0.836 0.235 0.639 In
0.500 0.500 0.500 Ge
```

---

Below is crystalline Li4BeTc at its relaxed geometry, with properties calculated at the PBE-GGA level.

Results
Symmetry: F-43m, No. 216
Total moment, μB per cell: 0.6
Total energy, eV/atom: -3.088

POSCAR file:
```
Li4BeTc
1.0
0.000 3.353 3.353
3.353 0.000 3.353
3.353 3.353 0.000
Li Be Tc
4 1 1
Direct
0.125 0.125 0.125 Li
0.125 0.125 0.625 Li
0.125 0.625 0.125 Li
0.625 0.125 0.125 Li
0.750 0.750 0.750 Be
0.500 0.500 0.500 Tc
```

---

Below is crystalline Pm4H5N at its relaxed geometry, with properties calculated at the PBE-GGA level.

Results
Symmetry: C2/m, No. 12
Total moment, μB per cell: 0.0
Total energy, eV/atom: -5.140

POSCAR file:
```
Pm4H5N
1.0
6.836 -1.848 0.000
6.836 1.848 0.000
-0.141 0.000 6.044
Pm H N
4 5 1
Direct
0.062 0.062 0.250 Pm
0.335 0.335 0.205 Pm
0.665 0.665 0.795 Pm
0.938 0.938 0.750 Pm
0.099 0.099 0.631 H
0.188 0.188 0.014 H
0.500 0.500 0.500 H
0.812 0.812 0.986 H
0.901 0.901 0.369 H
0.500 0.500 0.000 N
```

---

Below is crystalline LiTl6Hg8 at its relaxed geometry, with properties calculated at the PBE-GGA level.

Results
Symmetry: R-3, No. 148
Total moment, μB per cell: 0.0
Total energy, eV/atom: -1.268

POSCAR file:
```
LiTl6Hg8
1.0
4.517 2.608 5.929
-4.517 2.608 5.929
0.000 -5.216 5.929
Li Tl Hg
1 6 8
Direct
0.000 0.000 0.000 Li
0.175 0.419 0.623 Tl
0.377 0.825 0.581 Tl
0.419 0.623 0.175 Tl
0.581 0.377 0.825 Tl
0.623 0.175 0.419 Tl
0.825 0.581 0.377 Tl
0.043 0.877 0.365 Hg
0.123 0.635 0.957 Hg
0.233 0.233 0.233 Hg
0.365 0.043 0.877 Hg
0.635 0.957 0.123 Hg
0.767 0.767 0.767 Hg
0.877 0.365 0.043 Hg
0.957 0.123 0.635 Hg
```

---

Below is crystalline CaAc2Zn at its relaxed geometry, with properties calculated at the PBE-GGA level.

Results
Symmetry: Pnma, No. 62
Total moment, μB per cell: 0.0
Total energy, eV/atom: -2.952

POSCAR file:
```
CaAc2Zn
1.0
7.824 0.000 0.000
0.000 10.497 0.000
0.000 0.000 7.184
Ca Ac Zn
4 8 4
Direct
0.028 0.250 0.133 Ca
0.472 0.750 0.633 Ca
0.528 0.250 0.367 Ca
0.972 0.750 0.867 Ca
0.189 0.057 0.674 Ac
0.189 0.443 0.674 Ac
0.311 0.557 0.174 Ac
0.311 0.943 0.174 Ac
0.689 0.057 0.826 Ac
0.689 0.443 0.826 Ac
0.811 0.557 0.326 Ac
0.811 0.943 0.326 Ac
0.109 0.750 0.464 Zn
0.391 0.250 0.964 Zn
0.609 0.750 0.036 Zn
0.891 0.250 0.536 Zn
```

---

Below is crystalline LaTl2Pb at its relaxed geometry, with properties calculated at the PBE-GGA level.

Results
Symmetry: I-42d, No. 122
Total moment, μB per cell: 0.0
Total energy, eV/atom: -3.521

POSCAR file:
```
LaTl2Pb
1.0
-4.410 4.410 3.339
4.410 -4.410 3.339
4.410 4.410 -3.339
La Tl Pb
2 4 2
Direct
0.000 0.000 0.000 La
0.750 0.250 0.500 La
0.143 0.625 0.018 Tl
0.375 0.393 0.518 Tl
0.607 0.125 0.982 Tl
0.875 0.857 0.482 Tl
0.250 0.750 0.500 Pb
0.500 0.500 0.000 Pb
```

---

Below is crystalline MnBePb3 at its relaxed geometry, with properties calculated at the PBE-GGA level.

Results
Symmetry: Pm-3m, No. 221
Total moment, μB per cell: 4.4
Total energy, eV/atom: -4.121

POSCAR file:
```
MnBePb3
1.0
5.093 0.000 0.000
0.000 5.093 0.000
0.000 0.000 5.093
Mn Be Pb
1 1 3
Direct
0.000 0.000 0.000 Mn
0.500 0.500 0.500 Be
0.000 0.500 0.500 Pb
0.500 0.000 0.500 Pb
0.500 0.500 0.000 Pb
```

---

Below is crystalline MgTcBr at its relaxed geometry, with properties calculated at the PBE-GGA level.

Results
ΔE_f (raw), meV per atom: 463
Symmetry: Fmm2, No. 42
Total moment, μB per cell: 1.8

POSCAR file:
```
MgTcBr
1.0
0.000 2.721 6.534
1.662 0.000 6.534
1.662 2.721 0.000
Mg Tc Br
1 1 1
Direct
0.000 0.000 0.000 Mg
0.337 0.337 0.663 Tc
0.673 0.673 0.327 Br
```

---

Below is crystalline AcNd5YEr2 at its relaxed geometry, with properties calculated at the PBE-GGA level.

Results
Symmetry: Cmc2_1, No. 36
Total moment, μB per cell: 0.0
Total energy, eV/atom: -4.692

POSCAR file:
```
AcNd5YEr2
1.0
2.789 -12.162 0.000
2.789 12.162 0.000
0.000 0.000 9.567
Ac Nd Y Er
2 10 2 4
Direct
0.103 0.897 0.500 Ac
0.897 0.103 0.000 Ac
0.025 0.975 0.830 Nd
0.106 0.894 0.108 Nd
0.188 0.812 0.799 Nd
0.241 0.759 0.431 Nd
0.491 0.509 0.614 Nd
0.509 0.491 0.114 Nd
0.759 0.241 0.931 Nd
0.812 0.188 0.299 Nd
0.894 0.106 0.608 Nd
0.975 0.025 0.330 Nd
0.266 0.734 0.107 Y
0.734 0.266 0.607 Y
0.325 0.675 0.746 Er
0.388 0.612 0.366 Er
0.612 0.388 0.866 Er
0.675 0.325 0.246 Er
```

---

Below is crystalline Ba8Sb3SeI4 at its relaxed geometry, with properties calculated at the PBE-GGA level.

Results
ΔE_f (raw), meV per atom: -1497
Symmetry: C2/m, No. 12
Total moment, μB per cell: 0.0

POSCAR file:
```
Ba8Sb3SeI4
1.0
8.684 -5.012 0.000
8.684 5.012 0.000
-5.791 0.000 8.303
Ba Sb Se I
8 3 1 4
Direct
0.237 0.742 0.715 Ba
0.238 0.238 0.717 Ba
0.258 0.763 0.285 Ba
0.259 0.259 0.279 Ba
0.741 0.741 0.721 Ba
0.742 0.237 0.715 Ba
0.762 0.762 0.283 Ba
0.763 0.258 0.285 Ba
0.000 0.500 0.500 Sb
0.500 0.000 0.500 Sb
0.500 0.500 0.500 Sb
0.000 0.000 0.500 Se
0.000 0.000 0.000 I
0.000 0.500 0.000 I
0.500 0.000 0.000 I
0.500 0.500 0.000 I
```